Here is crystalline Li2Ac2Hg3 at its relaxed geometry from Alexandria. Energies are from PBE.

Cell lengths 4.1865, 8.7020, 10.8884 Å; angles 90.00, 101.08, 90.00 degrees
Fractional positions:
Li 0.6890 0.9413 0.3780
Li 0.3110 0.0587 0.6220
Li 0.3110 0.4413 0.6220
Li 0.6890 0.5587 0.3780
Ac 0.1601 0.2500 0.3201
Ac 0.8399 0.7500 0.6799
Ac 0.9438 0.2500 0.8876
Ac 0.0562 0.7500 0.1124
Hg 0.2187 0.7500 0.4375
Hg 0.7813 0.2500 0.5625
Hg 0.5644 0.4356 0.1289
Hg 0.4356 0.5644 0.8711
Hg 0.4356 0.9356 0.8711
Hg 0.5644 0.0644 0.1289

## Properties
**M_tot**: 0.00 Bohr magnetons per cell
**E**: -0.163 Ry/atom
**ΔH_f (0 K)**: -36 kJ/mol of atoms
**Energy relative to the lowest polymorph listed for this composition**: 0.000 eV per atom
**Crystal system**: orthorhombic

---

Here is crystalline LiAc2Hg6 at its relaxed geometry from Alexandria. Energies are from PBE.

Cell lengths 7.0152, 7.0152, 7.0162 Å; angles 59.99, 59.99, 60.00 degrees
Fractional positions:
Li 0.5000 0.5000 0.5000
Ac 0.2500 0.2500 0.2498
Ac 0.7500 0.7500 0.7502
Hg 0.2276 0.2276 0.7719
Hg 0.2278 0.7724 0.2275
Hg 0.7722 0.2276 0.7725
Hg 0.7724 0.2278 0.2275
Hg 0.2276 0.7722 0.7725
Hg 0.7724 0.7724 0.2281

## Properties
**M_tot**: 0.00 Bohr magnetons per cell
**E**: -0.127 Ry/atom
**ΔH_f (0 K)**: -38 kJ/mol of atoms
**Energy relative to the lowest polymorph listed for this composition**: 0.011 eV per atom
**Crystal system**: cubic

---

Here is crystalline LiAc6Hg at its relaxed geometry from Alexandria. Energies are from PBE.

Cell lengths 5.6519, 5.6519, 10.5628 Å; angles 74.48, 74.48, 90.00 degrees
Fractional positions:
Li 0.0000 0.0000 0.0000
Ac 0.7507 0.7507 0.4986
Ac 0.6066 0.1066 0.7868
Ac 0.1066 0.6066 0.7868
Ac 0.3934 0.8934 0.2132
Ac 0.2493 0.2493 0.5014
Ac 0.8934 0.3934 0.2132
Hg 0.5000 0.5000 0.0000

## Properties
**M_tot**: 0.00 Bohr magnetons per cell
**E**: -0.254 Ry/atom
**ΔH_f (0 K)**: -10 kJ/mol of atoms
**Crystal system**: tetragonal

---

Here is crystalline Li3AcHg3 at its relaxed geometry from Alexandria. Energies are from PBE.

Cell lengths 7.1085, 7.1085, 7.1085 Å; angles 90.00, 90.00, 90.00 degrees
Fractional positions:
Ac 0.5000 0.5000 0.5000
Ac 0.0000 0.0000 0.0000
Hg 0.2500 0.0000 0.5000
Hg 0.0000 0.5000 0.2500
Hg 0.5000 0.7500 0.0000
Hg 0.7500 0.0000 0.5000
Hg 0.0000 0.5000 0.7500
Hg 0.5000 0.2500 0.0000
Li 0.0000 0.2500 0.5000
Li 0.0000 0.7500 0.5000
Li 0.5000 0.0000 0.7500
Li 0.7500 0.5000 0.0000
Li 0.5000 0.0000 0.2500
Li 0.2500 0.5000 0.0000

## Properties
**M_tot**: 0.00 Bohr magnetons per cell
**E**: -0.122 Ry/atom
**ΔH_f (0 K)**: -13 kJ/mol of atoms
**Energy relative to the lowest polymorph listed for this composition**: 0.199 eV per atom
**Crystal system**: cubic